{
  "formula": "Ac5Sm2Y2",
  "functional": "PBE",
  "state": "relaxed",
  "lattice": [[6.587, 0.000, 0.000], [1.107, 6.534, 0.000], [2.244, 0.762, 8.238]],
  "species": ["Ac", "Ac", "Ac", "Ac", "Ac", "Sm", "Sm", "Y", "Y"],
  "frac_coords": [[0.000, 0.000, 0.000], [0.327, 0.664, 0.669], [0.437, 0.890, 0.225], [0.563, 0.110, 0.775], [0.673, 0.336, 0.331], [0.223, 0.450, 0.114], [0.777, 0.550, 0.886], [0.108, 0.230, 0.551], [0.892, 0.770, 0.449]],
  "formation_energy_ev_per_fu": 0.46,
  "energy_ev_per_atom": -4.72
}